VASP calculation (PBE) on Cs3TlCu2Cl8 after structural relaxation.

The structure in CIF format:
```
data_Cs3TlCu2Cl8
_space_group_name_H-M_alt 'P -3 m 1'
_space_group_IT_number 164
_space_group_name_Hall '-P 3 2"'
_cell_length_a 7.4911
_cell_length_b 7.4911
_cell_length_c 9.6957
_cell_angle_alpha 90.00
_cell_angle_beta 90.00
_cell_angle_gamma 120.00
loop_
_atom_site_label
_atom_site_fract_x
_atom_site_fract_y
_atom_site_fract_z
Cs1 0.0000 0.0000 0.0000
Cs2 0.3333 0.6667 0.6458
Tl1 0.0000 0.0000 0.5000
Cu1 0.3333 0.6667 0.2170
Cl1 0.1723 0.3447 0.3235
Cl2 0.3333 0.6667 0.9921
```

formation energy from raw total energies = -1.24 eV per atom